Entry 1:
A plane-wave DFT calculation with GGA-PBE was carried out for crystalline Pu3AgGe2 at its relaxed geometry.

Properties
Space-group type = Cmmm, No. 65
Energy relative to the lowest polymorph listed for this composition = 0 meV per atom
Energy of formation = -0.2805 eV per atom

The structure in CIF format:
```
data_Pu3AgGe2
_chemical_formula_sum 'Pu3 Ag1 Ge2'
_cell_length_a 2.974
_cell_length_b 5.510
_cell_length_c 8.725
_cell_angle_alpha 108.41
_cell_angle_beta 90.00
_cell_angle_gamma 90.00
_space_group_name_H-M_alt 'P 1'
_space_group_IT_number 1
_space_group_name_Hall 'P 1'
loop_
_atom_site_label
_atom_site_fract_x
_atom_site_fract_y
_atom_site_fract_z
Ge1 0.000 0.661 0.322
Ge2 0.000 0.339 0.678
Pu1 0.500 0.500 0.000
Pu2 0.500 0.824 0.649
Pu3 0.500 0.176 0.351
Ag1 0.000 0.000 0.000
```

***

Entry 2:
A plane-wave DFT calculation with GGA-PBE was carried out for crystalline Tb3NdCd2 at its relaxed geometry.

Properties
Space-group type = P4/mmm, No. 123
Energy of formation = -0.2047 eV per atom

The structure in CIF format:
```
data_Tb3NdCd2
_chemical_formula_sum 'Tb3 Nd1 Cd2'
_cell_length_a 3.690
_cell_length_b 3.690
_cell_length_c 12.771
_cell_angle_alpha 90.00
_cell_angle_beta 90.00
_cell_angle_gamma 90.00
_space_group_name_H-M_alt 'P 1'
_space_group_IT_number 1
_space_group_name_Hall 'P 1'
loop_
_atom_site_label
_atom_site_fract_x
_atom_site_fract_y
_atom_site_fract_z
Nd1 0.500 0.500 0.500
Tb1 0.000 0.000 0.302
Tb2 0.000 0.000 0.698
Tb3 0.000 0.000 0.000
Cd1 0.500 0.500 0.151
Cd2 0.500 0.500 0.849
```

***

Entry 3:
A plane-wave DFT calculation with GGA-PBE was carried out for crystalline LuThSnPd at its relaxed geometry.

Properties
Space-group type = F-43m, No. 216
Energy of formation = -0.5515 eV per atom

The structure in CIF format:
```
data_LuThSnPd
_chemical_formula_sum 'Lu1 Th1 Sn1 Pd1'
_cell_length_a 5.217
_cell_length_b 5.217
_cell_length_c 5.217
_cell_angle_alpha 60.00
_cell_angle_beta 60.00
_cell_angle_gamma 60.00
_space_group_name_H-M_alt 'P 1'
_space_group_IT_number 1
_space_group_name_Hall 'P 1'
loop_
_atom_site_label
_atom_site_fract_x
_atom_site_fract_y
_atom_site_fract_z
Lu1 0.500 0.500 0.500
Pd1 0.750 0.750 0.750
Th1 0.000 0.000 0.000
Sn1 0.250 0.250 0.250
```

***

Entry 4:
A plane-wave DFT calculation with GGA-PBE was carried out for crystalline KAg7Br12 at its relaxed geometry.

Properties
Space-group type = Im-3, No. 204
Uncorrected formation energy = -399 meV per atom

The structure in CIF format:
```
data_KAg7Br12
_chemical_formula_sum 'K1 Ag7 Br12'
_cell_length_a 9.027
_cell_length_b 9.027
_cell_length_c 9.027
_cell_angle_alpha 109.47
_cell_angle_beta 109.47
_cell_angle_gamma 109.47
_space_group_name_H-M_alt 'P 1'
_space_group_IT_number 1
_space_group_name_Hall 'P 1'
loop_
_atom_site_label
_atom_site_fract_x
_atom_site_fract_y
_atom_site_fract_z
Br1 0.176 0.489 0.313
Br2 0.687 0.176 0.864
Br3 0.176 0.864 0.687
Br4 0.136 0.313 0.824
Br5 0.687 0.824 0.511
Br6 0.864 0.687 0.176
Br7 0.511 0.687 0.824
Br8 0.824 0.136 0.313
Br9 0.313 0.176 0.489
Br10 0.489 0.313 0.176
Br11 0.824 0.511 0.687
Br12 0.313 0.824 0.136
Ag1 0.000 0.500 0.500
Ag2 0.500 0.500 0.000
Ag3 0.000 0.000 0.500
Ag4 0.500 0.500 0.500
Ag5 0.500 0.000 0.500
Ag6 0.000 0.500 0.000
Ag7 0.500 0.000 0.000
K1 0.000 0.000 0.000
```

***

Number 1: spin magnetization 17.10 μB/f.u.. Number 2: spin magnetization 0.10 μB/f.u.. Number 3: spin magnetization 0.68 μB/f.u.. Number 4: spin magnetization 0.00 μB/f.u..